Density functional theory data (PBE+U) for crystalline Co2As2O7 at its relaxed geometry.

```
Co2As2O7
1.0
-1.620 -0.252 5.150
6.977 -2.224 2.626
5.915 14.797 2.929
O Co As
35 10 10
direct
0.787 0.841 0.627 O
0.417 0.377 0.140 O
0.449 0.357 0.477 O
0.592 0.503 0.295 O
0.213 0.159 0.373 O
0.036 0.165 0.880 O
0.500 0.000 0.500 O
0.059 0.543 0.577 O
0.785 0.954 0.775 O
0.904 0.560 0.745 O
0.373 0.671 0.021 O
0.096 0.440 0.255 O
0.180 0.831 0.868 O
0.408 0.497 0.705 O
0.820 0.169 0.132 O
0.721 0.246 0.655 O
0.627 0.329 0.979 O
0.260 0.809 0.674 O
0.234 0.158 0.719 O
0.941 0.457 0.423 O
0.294 0.082 0.048 O
0.042 0.162 0.541 O
0.140 0.465 0.920 O
0.740 0.191 0.326 O
0.215 0.046 0.225 O
0.436 0.742 0.170 O
0.766 0.842 0.281 O
0.279 0.754 0.345 O
0.860 0.535 0.080 O
0.958 0.838 0.459 O
0.583 0.623 0.860 O
0.564 0.258 0.830 O
0.551 0.643 0.523 O
0.706 0.918 0.952 O
0.964 0.835 0.120 O
0.341 0.217 0.937 Co
0.602 0.740 0.739 Co
0.005 0.967 0.337 Co
0.398 0.260 0.261 Co
0.227 0.609 0.460 Co
0.830 0.398 0.867 Co
0.170 0.602 0.133 Co
0.659 0.783 0.063 Co
0.995 0.033 0.663 Co
0.773 0.391 0.540 Co
0.515 0.732 0.274 As
0.096 0.029 0.128 As
0.711 0.823 0.526 As
0.289 0.177 0.474 As
0.485 0.268 0.726 As
0.904 0.971 0.872 As
0.877 0.386 0.329 As
0.679 0.362 0.079 As
0.123 0.614 0.671 As
0.321 0.638 0.921 As
```

Values from the calculation:
Energy relative to the lowest polymorph listed for this composition in meV/atom: 63